Entry 1:
Material: BaNaUBr6
Method: DFT, GGA-PBE
State: relaxed

Calculated values
Uncorrected formation energy = -1.63 eV/atom

Cell: 7.5969 7.5969 14.0708 Å, 90.00 90.00 120.00°
Space group P-31c (No. 163)
One atom of each set of equivalent atoms:
Ba 0.0000 0.0000 0.0000 x2
Na 0.3333 0.6667 0.2500 x2
U 0.3333 0.6667 0.7500 x2
Br 0.0088 0.3593 0.6319 x12

=====

Entry 2:
Material: La2DyPu
Method: DFT, GGA-PBE
State: relaxed

Calculated values
E above lowest polymorph = 14.1 kJ per mole of atoms
Formation enthalpy at 0 K = 0.26 eV/atom

Cell: 3.5187 3.5187 37.5106 Å, 90.00 90.00 120.00°
Space group R-3m (No. 166, hexagonal axes)
One atom of each set of equivalent atoms:
La 0.0000 0.0000 0.0866 x6
Dy 0.0000 0.0000 0.5000 x3
Pu 0.0000 0.0000 0.0000 x3